# 1
A geometry-optimized SbTeMo structure. Source: the Alexandria database, functional PBE-GGA.

Structure (CIF):
```
data_SbTeMo
_chemical_formula_sum 'Sb1 Te1 Mo1'
_cell_length_a 8.048
_cell_length_b 7.808
_cell_length_c 3.199
_cell_angle_alpha 82.62
_cell_angle_beta 74.17
_cell_angle_gamma 23.22
_space_group_name_H-M_alt 'P 1'
_space_group_IT_number 1
loop_
_space_group_symop_operation_xyz
'x,y,z'
loop_
_atom_site_label
_atom_site_type_symbol
_atom_site_fract_x
_atom_site_fract_y
_atom_site_fract_z
Sb1 Sb 0.363 0.363 0.637
Mo1 Mo 0.001 0.001 0.999
Te1 Te 0.637 0.637 0.363
```

Output
* energy above the most stable polymorph in this dataset: 354 meV per atom
* formation energy (no corrections): 0.379 eV per atom

=====

# 2
A geometry-optimized MnBe2In structure. Source: the Alexandria database, functional PBE-GGA.

Structure (CIF):
```
data_MnBe2In
_chemical_formula_sum 'Mn1 Be2 In1'
_cell_length_a 4.230
_cell_length_b 4.230
_cell_length_c 4.230
_cell_angle_alpha 60.00
_cell_angle_beta 60.00
_cell_angle_gamma 60.00
_space_group_name_H-M_alt 'P 1'
_space_group_IT_number 1
loop_
_space_group_symop_operation_xyz
'x,y,z'
loop_
_atom_site_label
_atom_site_type_symbol
_atom_site_fract_x
_atom_site_fract_y
_atom_site_fract_z
Be1 Be 0.250 0.250 0.250
Be2 Be 0.000 0.000 0.000
Mn1 Mn 0.750 0.750 0.750
In1 In 0.500 0.500 0.500
```

Output
* ΔH_f (0 K): 0.46 eV per atom

=====

# 3
A geometry-optimized TbSm3Hg12 structure. Source: the Alexandria database, functional PBE-GGA.

Structure (CIF):
```
data_TbSm3Hg12
_chemical_formula_sum 'Tb1 Sm3 Hg12'
_cell_length_a 4.584
_cell_length_b 4.584
_cell_length_c 19.236
_cell_angle_alpha 90.00
_cell_angle_beta 90.00
_cell_angle_gamma 90.00
_space_group_name_H-M_alt 'P 1'
_space_group_IT_number 1
loop_
_space_group_symop_operation_xyz
'x,y,z'
loop_
_atom_site_label
_atom_site_type_symbol
_atom_site_fract_x
_atom_site_fract_y
_atom_site_fract_z
Hg1 Hg 0.500 0.000 0.374
Hg2 Hg 0.500 0.500 0.751
Hg3 Hg 0.000 0.500 0.626
Hg4 Hg 0.000 0.500 0.374
Hg5 Hg 0.500 0.500 0.249
Hg6 Hg 0.500 0.000 0.626
Hg7 Hg 0.000 0.500 0.123
Hg8 Hg 0.500 0.000 0.877
Hg9 Hg 0.500 0.500 0.500
Hg10 Hg 0.500 0.000 0.123
Hg11 Hg 0.500 0.500 0.000
Hg12 Hg 0.000 0.500 0.877
Sm1 Sm 0.000 0.000 0.751
Sm2 Sm 0.000 0.000 0.249
Sm3 Sm 0.000 0.000 0.500
Tb1 Tb 0.000 0.000 0.000
```

Output
* ΔH_f (0 K): -0.34 eV per atom

=====

# 4
A geometry-optimized YMgRe2 structure. Source: the Alexandria database, functional PBE-GGA.

Structure (CIF):
```
data_YMgRe2
_chemical_formula_sum 'Y2 Mg2 Re4'
_cell_length_a 7.724
_cell_length_b 7.724
_cell_length_c 6.064
_cell_angle_alpha 50.44
_cell_angle_beta 50.44
_cell_angle_gamma 90.00
_space_group_name_H-M_alt 'P 1'
_space_group_IT_number 1
loop_
_space_group_symop_operation_xyz
'x,y,z'
loop_
_atom_site_label
_atom_site_type_symbol
_atom_site_fract_x
_atom_site_fract_y
_atom_site_fract_z
Re1 Re 0.155 0.625 0.250
Re2 Re 0.595 0.125 0.250
Re3 Re 0.875 0.845 0.750
Re4 Re 0.375 0.405 0.750
Mg1 Mg 0.500 0.500 0.000
Mg2 Mg 0.250 0.750 0.500
Y1 Y 0.750 0.250 0.500
Y2 Y 0.000 0.000 0.000
```

Output
* ΔH_f (0 K): 1.01 eV per atom

=====

# 5
A geometry-optimized PuPa2Si2 structure. Source: the Alexandria database, functional PBE-GGA.

Structure (CIF):
```
data_PuPa2Si2
_chemical_formula_sum 'Pu2 Pa4 Si4'
_cell_length_a 3.953
_cell_length_b 7.571
_cell_length_c 7.571
_cell_angle_alpha 90.00
_cell_angle_beta 90.00
_cell_angle_gamma 90.00
_space_group_name_H-M_alt 'P 1'
_space_group_IT_number 1
loop_
_space_group_symop_operation_xyz
'x,y,z'
loop_
_atom_site_label
_atom_site_type_symbol
_atom_site_fract_x
_atom_site_fract_y
_atom_site_fract_z
Si1 Si 0.500 0.887 0.387
Si2 Si 0.500 0.113 0.613
Si3 Si 0.500 0.613 0.887
Si4 Si 0.500 0.387 0.113
Pu1 Pu 0.000 0.000 0.000
Pu2 Pu 0.000 0.500 0.500
Pa1 Pa 0.000 0.320 0.820
Pa2 Pa 0.000 0.180 0.320
Pa3 Pa 0.000 0.680 0.180
Pa4 Pa 0.000 0.820 0.680
```

Output
* energy above the most stable polymorph in this dataset: 401 meV per atom
* formation energy (no corrections): -0.056 eV per atom

=====

# 6
A geometry-optimized ZrSc2F structure. Source: the Alexandria database, functional PBE-GGA.

Structure (CIF):
```
data_ZrSc2F
_chemical_formula_sum 'Zr1 Sc2 F1'
_cell_length_a 9.274
_cell_length_b 9.274
_cell_length_c 9.274
_cell_angle_alpha 20.69
_cell_angle_beta 20.69
_cell_angle_gamma 20.69
_space_group_name_H-M_alt 'P 1'
_space_group_IT_number 1
loop_
_space_group_symop_operation_xyz
'x,y,z'
loop_
_atom_site_label
_atom_site_type_symbol
_atom_site_fract_x
_atom_site_fract_y
_atom_site_fract_z
Zr1 Zr 0.500 0.500 0.500
Sc1 Sc 0.075 0.075 0.075
Sc2 Sc 0.925 0.925 0.925
F1 F 0.000 0.000 0.000
```

Output
* energy above the most stable polymorph in this dataset: 7 meV per atom
* formation energy (no corrections): -1.128 eV per atom

=====

# 7
A geometry-optimized SnRu3Br structure. Source: the Alexandria database, functional PBE-GGA.

Structure (CIF):
```
data_SnRu3Br
_chemical_formula_sum 'Sn1 Ru3 Br1'
_cell_length_a 4.595
_cell_length_b 4.595
_cell_length_c 4.595
_cell_angle_alpha 90.00
_cell_angle_beta 90.00
_cell_angle_gamma 90.00
_space_group_name_H-M_alt 'P 1'
_space_group_IT_number 1
loop_
_space_group_symop_operation_xyz
'x,y,z'
loop_
_atom_site_label
_atom_site_type_symbol
_atom_site_fract_x
_atom_site_fract_y
_atom_site_fract_z
Br1 Br 0.000 0.000 0.000
Sn1 Sn 0.500 0.500 0.500
Ru1 Ru 0.500 0.000 0.000
Ru2 Ru 0.000 0.500 0.000
Ru3 Ru 0.000 0.000 0.500
```

Output
* energy above the most stable polymorph in this dataset: 0 meV per atom
* formation energy (no corrections): 1.348 eV per atom

=====

# 8
A geometry-optimized CaPm8Dy5 structure. Source: the Alexandria database, functional PBE-GGA.

Structure (CIF):
```
data_CaPm8Dy5
_chemical_formula_sum 'Ca1 Pm8 Dy5'
_cell_length_a 8.614
_cell_length_b 8.614
_cell_length_c 8.614
_cell_angle_alpha 111.06
_cell_angle_beta 106.33
_cell_angle_gamma 111.06
_space_group_name_H-M_alt 'P 1'
_space_group_IT_number 1
loop_
_space_group_symop_operation_xyz
'x,y,z'
loop_
_atom_site_label
_atom_site_type_symbol
_atom_site_fract_x
_atom_site_fract_y
_atom_site_fract_z
Dy1 Dy 0.037 0.314 0.131
Dy2 Dy 0.278 0.094 0.963
Dy3 Dy 0.500 0.000 0.500
Dy4 Dy 0.869 0.906 0.183
Dy5 Dy 0.817 0.686 0.722
Ca1 Ca 0.250 0.500 0.750
Pm1 Pm 0.075 0.746 0.471
Pm2 Pm 0.344 0.264 0.425
Pm3 Pm 0.575 0.920 0.839
Pm4 Pm 0.919 0.080 0.656
Pm5 Pm 0.670 0.396 0.925
Pm6 Pm 0.161 0.736 0.081
Pm7 Pm 0.529 0.604 0.274
Pm8 Pm 0.726 0.254 0.330
```

Output
* ΔH_f (0 K): 0.24 eV per atom

=====

# 9
A geometry-optimized K3TiSb2 structure. Source: the Alexandria database, functional PBE-GGA.

Structure (CIF):
```
data_K3TiSb2
_chemical_formula_sum 'K6 Ti2 Sb4'
_cell_length_a 8.388
_cell_length_b 6.963
_cell_length_c 9.570
_cell_angle_alpha 111.33
_cell_angle_beta 115.99
_cell_angle_gamma 90.00
_space_group_name_H-M_alt 'P 1'
_space_group_IT_number 1
loop_
_space_group_symop_operation_xyz
'x,y,z'
loop_
_atom_site_label
_atom_site_type_symbol
_atom_site_fract_x
_atom_site_fract_y
_atom_site_fract_z
Ti1 Ti 0.000 0.750 0.000
Ti2 Ti 0.000 0.250 0.000
K1 K 0.500 0.750 0.000
K2 K 0.616 0.318 0.636
K3 K 0.020 0.818 0.636
K4 K 0.500 0.250 0.000
K5 K 0.980 0.182 0.364
K6 K 0.384 0.682 0.364
Sb1 Sb 0.910 0.596 0.193
Sb2 Sb 0.090 0.404 0.807
Sb3 Sb 0.283 0.096 0.193
Sb4 Sb 0.717 0.904 0.807
```

Output
* formation energy (no corrections): -0.431 eV per atom

=====

# 10
A geometry-optimized As3Ru structure. Source: the Alexandria database, functional PBE-GGA.

Structure (CIF):
```
data_As3Ru
_chemical_formula_sum 'As3 Ru1'
_cell_length_a 4.657
_cell_length_b 4.657
_cell_length_c 3.197
_cell_angle_alpha 90.00
_cell_angle_beta 90.00
_cell_angle_gamma 104.77
_space_group_name_H-M_alt 'P 1'
_space_group_IT_number 1
loop_
_space_group_symop_operation_xyz
'x,y,z'
loop_
_atom_site_label
_atom_site_type_symbol
_atom_site_fract_x
_atom_site_fract_y
_atom_site_fract_z
As1 As 0.500 0.000 0.500
As2 As 0.000 0.500 0.500
As3 As 0.500 0.500 0.000
Ru1 Ru 0.000 0.000 0.000
```

Output
* energy above the most stable polymorph in this dataset: 405 meV per atom
* ΔH_f (0 K): 0.38 eV per atom

=====

# 11
A geometry-optimized YTlPb structure. Source: the Alexandria database, functional PBE-GGA.

Structure (CIF):
```
data_YTlPb
_chemical_formula_sum 'Y1 Tl1 Pb1'
_cell_length_a 3.574
_cell_length_b 3.574
_cell_length_c 8.111
_cell_angle_alpha 90.00
_cell_angle_beta 90.00
_cell_angle_gamma 120.00
_space_group_name_H-M_alt 'P 1'
_space_group_IT_number 1
loop_
_space_group_symop_operation_xyz
'x,y,z'
loop_
_atom_site_label
_atom_site_type_symbol
_atom_site_fract_x
_atom_site_fract_y
_atom_site_fract_z
Tl1 Tl 0.667 0.333 0.336
Pb1 Pb 0.000 0.000 0.999
Y1 Y 0.333 0.667 0.665
```

Output
* energy above the most stable polymorph in this dataset: 253 meV per atom
* ΔH_f (0 K): -0.08 eV per atom